# PBE LiThCuPt, relaxed
# Total magnetization in μB per atom: 0.00
# Uncorrected energy in eV/atom: -5.343
# Formation enthalpy at 0 K in kJ/mol of atoms: -45.9
data_LiThCuPt
_space_group_name_H-M_alt 'P 1'
_space_group_IT_number 1
_cell_length_a 4.825
_cell_length_b 4.825
_cell_length_c 4.825
_cell_angle_alpha 60.00
_cell_angle_beta 60.00
_cell_angle_gamma 60.00
loop_
_space_group_symop_operation_xyz
'x,y,z'
loop_
_atom_site_label
_atom_site_fract_x
_atom_site_fract_y
_atom_site_fract_z
Th1 0.000 0.000 0.000
Cu1 0.750 0.750 0.750
Pt1 0.250 0.250 0.250
Li1 0.500 0.500 0.500

# PBE La4CdIn, relaxed
# Energy relative to the lowest polymorph listed for this composition in meV per atom: 0.0
# Total magnetization in μB per atom: 0.14
# Uncorrected energy in eV/atom: -4.153
# Formation enthalpy at 0 K in kJ/mol of atoms: -25.0
data_La4CdIn
_space_group_name_H-M_alt 'P 1'
_space_group_IT_number 1
_cell_length_a 4.073
_cell_length_b 6.638
_cell_length_c 8.734
_cell_angle_alpha 109.88
_cell_angle_beta 76.52
_cell_angle_gamma 72.13
loop_
_space_group_symop_operation_xyz
'x,y,z'
loop_
_atom_site_label
_atom_site_fract_x
_atom_site_fract_y
_atom_site_fract_z
La1 0.824 0.526 0.827
La2 0.176 0.474 0.173
La3 0.329 0.017 0.325
La4 0.671 0.983 0.675
Cd1 0.000 0.000 0.000
In1 0.500 0.500 0.500

# PBE Pa2AsSe, relaxed
# Raw formation energy in kcal/mol of atoms: -21.1
# Energy relative to the lowest polymorph listed for this composition in meV per atom: 227.4
# Total magnetization in μB per atom: 0.37
# Uncorrected energy in eV/atom: -7.698
data_Pa2AsSe
_space_group_name_H-M_alt 'P 1'
_space_group_IT_number 1
_cell_length_a 4.984
_cell_length_b 4.984
_cell_length_c 4.984
_cell_angle_alpha 60.00
_cell_angle_beta 60.00
_cell_angle_gamma 60.00
loop_
_space_group_symop_operation_xyz
'x,y,z'
loop_
_atom_site_label
_atom_site_fract_x
_atom_site_fract_y
_atom_site_fract_z
Pa1 0.750 0.750 0.750
Pa2 0.250 0.250 0.250
As1 0.000 0.000 0.000
Se1 0.500 0.500 0.500

# PBE LiSmPd2, relaxed
# Total magnetization in μB per atom: 0.00
# Uncorrected energy in eV/atom: -4.897
# Formation enthalpy at 0 K in kJ/mol of atoms: -62.0
data_LiSmPd2
_space_group_name_H-M_alt 'P 1'
_space_group_IT_number 1
_cell_length_a 3.520
_cell_length_b 3.520
_cell_length_c 6.044
_cell_angle_alpha 90.00
_cell_angle_beta 90.00
_cell_angle_gamma 90.00
loop_
_space_group_symop_operation_xyz
'x,y,z'
loop_
_atom_site_label
_atom_site_fract_x
_atom_site_fract_y
_atom_site_fract_z
Sm1 0.500 0.500 0.500
Pd1 0.000 0.000 0.228
Pd2 0.000 0.000 0.772
Li1 0.500 0.500 0.000

# PBE ZrTl2Pb, relaxed
# Energy relative to the lowest polymorph listed for this composition in meV per atom: 99.8
# Total magnetization in μB per atom: 0.00
# Uncorrected energy in eV/atom: -4.120
# Formation enthalpy at 0 K in kJ/mol of atoms: 12.3
data_ZrTl2Pb
_space_group_name_H-M_alt 'P 1'
_space_group_IT_number 1
_cell_length_a 10.515
_cell_length_b 10.515
_cell_length_c 10.515
_cell_angle_alpha 18.99
_cell_angle_beta 18.99
_cell_angle_gamma 18.99
loop_
_space_group_symop_operation_xyz
'x,y,z'
loop_
_atom_site_label
_atom_site_fract_x
_atom_site_fract_y
_atom_site_fract_z
Pb1 0.750 0.750 0.750
Tl1 0.504 0.504 0.504
Tl2 0.996 0.996 0.996
Zr1 0.250 0.250 0.250

# PBE NaNd2Cd, relaxed
# Energy relative to the lowest polymorph listed for this composition in meV per atom: 98.9
# Total magnetization in μB per atom: 0.00
# Uncorrected energy in eV/atom: -2.863
# Formation enthalpy at 0 K in kJ/mol of atoms: 7.7
data_NaNd2Cd
_space_group_name_H-M_alt 'P 1'
_space_group_IT_number 1
_cell_length_a 3.545
_cell_length_b 3.545
_cell_length_c 12.575
_cell_angle_alpha 81.90
_cell_angle_beta 81.90
_cell_angle_gamma 60.00
loop_
_space_group_symop_operation_xyz
'x,y,z'
loop_
_atom_site_label
_atom_site_fract_x
_atom_site_fract_y
_atom_site_fract_z
Cd1 0.500 0.500 0.500
Na1 0.000 0.000 0.000
Nd1 0.903 0.903 0.291
Nd2 0.097 0.097 0.709

# PBE TbPmTm2In4, relaxed
# Total magnetization in μB per atom: 0.00
# Uncorrected energy in eV/atom: -4.113
# Formation enthalpy at 0 K in kJ/mol of atoms: -43.8
data_TbPmTm2In4
_space_group_name_H-M_alt 'P 1'
_space_group_IT_number 1
_cell_length_a 5.322
_cell_length_b 5.322
_cell_length_c 9.240
_cell_angle_alpha 73.26
_cell_angle_beta 73.26
_cell_angle_gamma 60.00
loop_
_space_group_symop_operation_xyz
'x,y,z'
loop_
_atom_site_label
_atom_site_fract_x
_atom_site_fract_y
_atom_site_fract_z
In1 0.376 0.376 0.872
In2 0.126 0.126 0.622
In3 0.624 0.624 0.128
In4 0.874 0.874 0.378
Tm1 0.750 0.750 0.749
Tm2 0.250 0.250 0.251
Tb1 0.500 0.500 0.500
Pm1 0.000 0.000 0.000

# PBE LuHfHgPb, relaxed
# Total magnetization in μB per atom: 0.00
# Uncorrected energy in eV/atom: -4.693
# Formation enthalpy at 0 K in kJ/mol of atoms: -6.9
data_LuHfHgPb
_space_group_name_H-M_alt 'P 1'
_space_group_IT_number 1
_cell_length_a 5.133
_cell_length_b 5.133
_cell_length_c 5.133
_cell_angle_alpha 60.00
_cell_angle_beta 60.00
_cell_angle_gamma 60.00
loop_
_space_group_symop_operation_xyz
'x,y,z'
loop_
_atom_site_label
_atom_site_fract_x
_atom_site_fract_y
_atom_site_fract_z
Hg1 0.250 0.250 0.250
Hf1 0.500 0.500 0.500
Lu1 0.000 0.000 0.000
Pb1 0.750 0.750 0.750